one:
Density functional theory data (PBEsol) for a geometry-optimized Y4Cr structure.

a b c (Å): 4.136 4.136 9.243
angles (deg): 102.93 102.93 90.00
Each line ends with the local moment (μB).
Atoms (fractional coordinates):
Y 0.588 0.588 0.176  -0.06
Y 0.250 0.750 0.500  -0.02
Y 0.750 0.250 0.500  -0.02
Y 0.412 0.412 0.824  -0.06
Cr 0.000 0.000 0.000  3.76

symmetry: I4/mmm, No. 139

---

two:
Density functional theory data (PBEsol) for a geometry-optimized Y4Cr structure.

a b c (Å): 5.093 5.748 5.748
angles (deg): 78.68 63.70 63.70
Each line ends with the local moment (μB).
Atoms (fractional coordinates):
Cr 0.000 0.000 0.000  3.46
Y 0.383 0.812 0.423  -0.17
Y 0.805 0.577 0.812  -0.17
Y 0.617 0.188 0.577  -0.17
Y 0.195 0.423 0.188  -0.17

symmetry: I4/m, No. 87

---

Ordering by calculated energy gives the sequence two, one, with the first entry being the most stable.

---

one:
Density functional theory data (PBEsol) for a geometry-optimized YZrCr2 structure.

a b c (Å): 4.690 4.690 4.690
angles (deg): 60.00 60.00 60.00
Each line ends with the local moment (μB).
Atoms (fractional coordinates):
Cr 0.750 0.750 0.750  2.90
Cr 0.000 0.000 0.000  -2.31
Y 0.500 0.500 0.500  0.33
Zr 0.250 0.250 0.250  0.06

symmetry: F-43m, No. 216

---

two:
Density functional theory data (PBEsol) for a geometry-optimized YZrCr2 structure.

a b c (Å): 3.059 3.059 9.064
angles (deg): 80.29 80.29 60.00
Atoms (fractional coordinates):
Cr 0.013 0.013 0.962
Cr 0.733 0.733 0.801
Y 0.489 0.489 0.533
Zr 0.265 0.265 0.205

symmetry: R3m, No. 160

---

Ordering by calculated energy gives the sequence two, one, with the first entry being the most stable.

---

one:
Density functional theory data (PBEsol) for a geometry-optimized YZrCr2 structure.

a b c (Å): 2.981 2.981 8.035
angles (deg): 90.00 90.00 90.00
Atoms (fractional coordinates):
Cr 0.500 0.500 0.187
Cr 0.000 0.000 0.048
Y 0.000 0.000 0.447
Zr 0.500 0.500 0.818

symmetry: P4mm, No. 99

---

two:
Density functional theory data (PBEsol) for a geometry-optimized YZrCr2 structure.

a b c (Å): 3.340 4.686 4.686
angles (deg): 90.00 90.00 90.00
Each line ends with the local moment (μB).
Atoms (fractional coordinates):
Y 0.500 0.500 0.500  0.08
Cr 0.000 0.500 0.000  2.30
Cr 0.000 0.000 0.500  2.30
Zr 0.500 0.000 0.000  -0.29

symmetry: P4/mmm, No. 123

---

Ordering by calculated energy gives the sequence one, two, with the first entry being the most stable.

---

one:
Density functional theory data (PBEsol) for a geometry-optimized YZr2Cr structure.

a b c (Å): 3.218 4.563 6.137
angles (deg): 90.00 104.58 90.00
Each line ends with the local moment (μB).
Atoms (fractional coordinates):
Y 0.427 0.500 0.722  -0.06
Cr 0.892 0.000 0.482  2.68
Zr 0.626 0.500 0.251  -0.16
Zr 0.056 0.000 0.045  -0.08

symmetry: Pm, No. 6

---

two:
Density functional theory data (PBEsol) for a geometry-optimized YZr2Cr structure.

a b c (Å): 5.056 4.804 5.056
angles (deg): 58.25 90.00 121.75
Each line ends with the local moment (μB).
Atoms (fractional coordinates):
Y 0.000 0.000 0.000  -0.26
Zr 0.250 0.500 0.250  -0.21
Zr 0.750 0.500 0.750  -0.21
Cr 0.500 0.000 0.500  2.28

symmetry: I4/mmm, No. 139

---

three:
Density functional theory data (PBEsol) for a geometry-optimized YZr2Cr structure.

a b c (Å): 3.410 4.874 5.828
angles (deg): 114.72 107.01 90.00
Each line ends with the local moment (μB).
Atoms (fractional coordinates):
Zr 0.002 0.002 0.003  -0.10
Zr 0.798 0.298 0.595  -0.09
Y 0.217 0.717 0.435  -0.01
Cr 0.483 0.483 0.967  1.19

symmetry: Imm2, No. 44

---

Ordering by calculated energy gives the sequence three, one, two, with the first entry being the most stable.

---

one:
Density functional theory data (PBEsol) for a geometry-optimized CsCu3I structure.

a b c (Å): 5.190 5.190 5.190
angles (deg): 90.00 90.00 90.00
Atoms (fractional coordinates):
I 0.000 0.000 0.000
Cu 0.000 0.000 0.500
Cu 0.000 0.500 0.000
Cu 0.500 0.000 0.000
Cs 0.500 0.500 0.500

symmetry: Pm-3m, No. 221

---

two:
Density functional theory data (PBEsol) for a geometry-optimized CsCu3I structure.

a b c (Å): 5.286 5.286 5.286
angles (deg): 90.00 90.00 90.00
Atoms (fractional coordinates):
I 0.500 0.500 0.500
Cu 0.000 0.500 0.000
Cu 0.500 0.000 0.000
Cu 0.000 0.000 0.500
Cs 0.000 0.000 0.000

symmetry: Pm-3m, No. 221

---

Ordering by calculated energy gives the sequence one, two, with the first entry being the most stable.

---

one:
Density functional theory data (PBEsol) for a geometry-optimized CsLiF2 structure.

a b c (Å): 5.672 5.672 5.672
angles (deg): 96.90 116.10 116.10
Atoms (fractional coordinates):
F 0.856 0.481 0.125
F 0.644 0.375 0.519
F 0.356 0.875 0.731
F 0.144 0.269 0.625
Li 0.000 0.500 0.500
Li 0.500 0.250 0.750
Cs 0.500 0.750 0.250
Cs 0.000 0.000 0.000

symmetry: I-42d, No. 122

---

two:
Density functional theory data (PBEsol) for a geometry-optimized CsLiF2 structure.

a b c (Å): 5.964 6.510 8.027
angles (deg): 87.93 85.48 62.74
Atoms (fractional coordinates):
Cs 0.672 0.183 0.932
Cs 0.145 0.183 0.568
Cs 0.855 0.817 0.432
Cs 0.328 0.817 0.068
F 0.577 0.287 0.580
F 0.874 0.253 0.250
F 0.321 0.358 0.250
F 0.126 0.747 0.750
F 0.864 0.713 0.080
F 0.136 0.287 0.920
F 0.679 0.642 0.750
F 0.423 0.713 0.420
Li 0.556 0.398 0.360
Li 0.046 0.398 0.140
Li 0.954 0.602 0.860
Li 0.444 0.602 0.640

symmetry: C2/c, No. 15

---

Ordering by calculated energy gives the sequence two, one, with the first entry being the most stable.